Entry 1:
ScTlMo2 | PBE | optimized geometry

Computed properties:
The energy comes out at -0.52089 Ry per atom. Its crystal system is orthorhombic. The calculation puts the distance to the lowest polymorph of the same formula at 0.439 eV per atom.

Cell lengths 2.880, 2.880, 9.412 Å; angles 90.00, 90.00, 104.15 degrees
Fractional coordinates of all 4 atoms:
Sc 0.000 0.000 0.000
Tl 0.000 0.000 0.500
Mo 0.500 0.500 0.248
Mo 0.500 0.500 0.752

***

Entry 2:
CoICl3 | PBE | optimized geometry

Computed properties:
The energy comes out at -0.20895 Ry per atom. Its crystal system is cubic. The calculation puts the distance to the lowest polymorph of the same formula at 0.318 eV per atom. As for the uncorrected formation energy: -0.0037 eV/atom.

Cell lengths 4.840, 4.840, 4.840 Å; angles 90.00, 90.00, 90.00 degrees
Fractional coordinates of all 5 atoms:
Co 0.000 0.000 0.000
I 0.500 0.500 0.500
Cl 0.000 0.000 0.500
Cl 0.000 0.500 0.000
Cl 0.500 0.000 0.000